First-principles (PBE+U) data for an optimized crystal structure of TiNi2HgO, as listed in Alexandria via LeMat-Bulk.

Results
E_tot = -3.326 eV/atom
crystal system = tetragonal

Lattice parameters (Å, degrees): 3.885 3.885 5.230 90.00 90.00 90.00
Atoms (fractional coordinates):
Ti1 0.000 0.000 0.000
Ni1 0.000 0.500 0.500
Ni2 0.500 0.000 0.500
Hg1 0.500 0.500 0.000
O1 0.500 0.500 0.500